Below is La3WC at its PBEsol-relaxed geometry, with properties calculated at the SCAN level.

Cell: 5.3095 5.3095 5.3095 Å, 90.00 90.00 90.00°
Last column: nearest neighbours and their distance in Å.
Space group Pm-3m (No. 221)
Asymmetric unit:
La 0.0000 0.0000 0.5000 [3 per cell]  2 W 2.65
W 0.0000 0.0000 0.0000 [1 per cell]  6 La 2.65
C 0.5000 0.5000 0.5000 [1 per cell]  12 La 3.75

As for the formation energy: 1.38 eV per atom.

---

Below is CrCu2As at its PBEsol-relaxed geometry, with properties calculated at the SCAN level.

Cell: 4.8522 9.2027 2.6538 Å, 90.00 122.22 90.00°
Last column: nearest neighbours and their distance in Å.
Space group C2/m (No. 12)
Asymmetric unit:
Cr 0.0000 0.0000 0.0000 [2 per cell]  4 As 2.43-2.46, 4 Cu 2.61, 2 Cr 2.65
Cu 0.2500 0.2500 0.5000 [4 per cell]  6 Cu 2.43-2.65, 2 Cr 2.61, 2 As 2.61
As 0.0000 0.5000 0.0000 [2 per cell]  4 Cr 2.43-2.46, 4 Cu 2.61, 2 As 2.65

As for the formation energy: 0.26 eV per atom.

---

Below is LaBeRe3 at its PBEsol-relaxed geometry, with properties calculated at the SCAN level.

Cell: 4.3508 4.3508 4.3508 Å, 90.00 90.00 90.00°
Last column: nearest neighbours and their distance in Å.
Space group Pm-3m (No. 221)
Asymmetric unit:
La 0.0000 0.0000 0.0000 [1 per cell]  12 Re 3.08
Be 0.5000 0.5000 0.5000 [1 per cell]  6 Re 2.18
Re 0.0000 0.5000 0.5000 [3 per cell]  2 Be 2.18

As for the formation energy: 0.88 eV per atom.

---

Below is Rb2AgSbCl6 at its PBEsol-relaxed geometry, with properties calculated at the SCAN level.

Cell: 10.4988 10.4988 10.4988 Å, 90.00 90.00 90.00°
Last column: nearest neighbours and their distance in Å.
Space group Fm-3m (No. 225)
Asymmetric unit:
Rb 0.2500 0.2500 0.2500 [8 per cell]  12 Cl 3.71
Ag 0.0000 0.0000 0.0000 [4 per cell]  6 Cl 2.62
Sb 0.0000 0.0000 0.5000 [4 per cell]  6 Cl 2.63
Cl 0.0000 0.0000 0.2497 [24 per cell]  1 Ag 2.62, 1 Sb 2.63

Its formation energy (no corrections) is -1386 meV per atom.

---

Below is Ta2TlHg at its PBEsol-relaxed geometry, with properties calculated at the SCAN level.

Cell: 3.0025 3.0025 30.8865 Å, 90.00 90.00 120.00°
Last column: nearest neighbours and their distance in Å.
Space group R3m (No. 160, hexagonal axes)
Asymmetric unit:
Ta 0.0000 0.0000 0.0000 [3 per cell]  9 Ta 3.00, 3 Hg 3.00
Ta 0.0000 0.0000 0.2541 [3 per cell]  9 Ta 3.00, 3 Tl 3.11
Tl 0.0000 0.0000 0.5038 [3 per cell]  6 Tl 3.00, 3 Ta 3.11, 3 Hg 3.31
Hg 0.0000 0.0000 0.7460 [3 per cell]  3 Ta 3.00, 6 Hg 3.00, 3 Tl 3.31

As for the formation energy: 0.47 eV per atom.

---

Below is SrBiSeN2 at its PBEsol-relaxed geometry, with properties calculated at the SCAN level.

Cell: 4.3932 4.3932 5.6202 Å, 90.00 90.00 90.00°
Last column: nearest neighbours and their distance in Å.
Space group P4/mmm (No. 123)
Asymmetric unit:
Sr 0.0000 0.0000 0.0000 [1 per cell]  4 Se 3.11
Bi 0.5000 0.5000 0.5000 [1 per cell]  4 N 2.20
Se 0.5000 0.5000 0.0000 [1 per cell]  2 Bi 2.81, 4 Sr 3.11
N 0.0000 0.5000 0.5000 [2 per cell]  2 Bi 2.20

Its formation energy (no corrections) is 459 meV per atom.

---

Number 1: V 29.94 Å³/atom, theoretical density 6.80 g/cm³. Number 2: V 12.53 Å³/atom, theoretical density 8.41 g/cm³. Number 3: V 16.47 Å³/atom, theoretical density 14.25 g/cm³. Number 4: V 28.93 Å³/atom, theoretical density 3.52 g/cm³. Number 5: V 20.10 Å³/atom, theoretical density 15.84 g/cm³. Number 6: V 21.69 Å³/atom, theoretical density 6.18 g/cm³.